# 1
# PBE Sb2PRu, relaxed
data_Sb2PRu
_chemical_formula_sum 'Sb4 P2 Ru2'
_cell_length_a 6.182
_cell_length_b 7.541
_cell_length_c 3.270
_cell_angle_alpha 90.00
_cell_angle_beta 90.00
_cell_angle_gamma 90.00
_space_group_name_H-M_alt 'C m m m'
_space_group_IT_number 65
_space_group_name_Hall '-C 2 2'
loop_
_atom_site_label
_atom_site_type_symbol
_atom_site_fract_x
_atom_site_fract_y
_atom_site_fract_z
Sb1 Sb 0.250 0.250 0.000
P1 P 0.000 0.000 0.500
Ru1 Ru 0.000 0.500 0.500
# Magnetization: 0.00 μB/cell
# Calculated total energy: -5.282 eV per atom

***

# 2
# PBE Sb2PRu, relaxed
data_Sb2PRu
_chemical_formula_sum 'Sb8 P4 Ru4'
_cell_length_a 6.771
_cell_length_b 6.771
_cell_length_c 6.771
_cell_angle_alpha 90.00
_cell_angle_beta 90.00
_cell_angle_gamma 90.00
_space_group_name_H-M_alt 'F -4 3 m'
_space_group_IT_number 216
_space_group_name_Hall 'F -4 2 3'
loop_
_atom_site_label
_atom_site_type_symbol
_atom_site_fract_x
_atom_site_fract_y
_atom_site_fract_z
Sb1 Sb 0.000 0.000 0.000
Sb2 Sb 0.250 0.250 0.250
P1 P 0.000 0.000 0.500
Ru1 Ru 0.250 0.250 0.750
# Magnetization: 0.00 μB/cell
# Calculated total energy: -5.168 eV per atom

***

# 3
# PBE Sb2PRu, relaxed
data_Sb2PRu
_chemical_formula_sum 'Sb6 P3 Ru3'
_cell_length_a 3.5979
_cell_length_b 3.5979
_cell_length_c 21.3479
_cell_angle_alpha 90.00
_cell_angle_beta 90.00
_cell_angle_gamma 120.00
_space_group_name_H-M_alt 'R -3 m'
_space_group_IT_number 166
_space_group_name_Hall '-R 3 2"'
loop_
_atom_site_label
_atom_site_type_symbol
_atom_site_fract_x
_atom_site_fract_y
_atom_site_fract_z
Sb1 Sb 0.0000 0.0000 0.2494
P1 P 0.0000 0.0000 0.0000
Ru1 Ru 0.0000 0.0000 0.5000
# Magnetization: 0.00 μB/cell
# Calculated total energy: -5.534 eV per atom

***

# 4
# PBE SbP2Ru, relaxed
data_SbP2Ru
_chemical_formula_sum 'Sb4 P8 Ru4'
_cell_length_a 5.660
_cell_length_b 5.660
_cell_length_c 11.104
_cell_angle_alpha 90.00
_cell_angle_beta 90.00
_cell_angle_gamma 90.00
_space_group_name_H-M_alt 'I -4 2 d'
_space_group_IT_number 122
_space_group_name_Hall 'I -4 2bw'
loop_
_atom_site_label
_atom_site_type_symbol
_atom_site_fract_x
_atom_site_fract_y
_atom_site_fract_z
Sb1 Sb 0.000 0.000 0.000
P1 P 0.190 0.250 0.625
Ru1 Ru 0.000 0.000 0.500
# Magnetization: 0.00 μB/cell
# Calculated total energy: -6.030 eV per atom

***

# 5
# PBE SbP2Ru, relaxed
data_SbP2Ru
_chemical_formula_sum 'Sb2 P4 Ru2'
_cell_length_a 4.238
_cell_length_b 4.238
_cell_length_c 7.340
_cell_angle_alpha 90.00
_cell_angle_beta 90.00
_cell_angle_gamma 90.00
_space_group_name_H-M_alt 'I -4 m 2'
_space_group_IT_number 119
_space_group_name_Hall 'I -4 -2'
loop_
_atom_site_label
_atom_site_type_symbol
_atom_site_fract_x
_atom_site_fract_y
_atom_site_fract_z
Sb1 Sb 0.000 0.000 0.000
P1 P 0.000 0.000 0.500
P2 P 0.000 0.500 0.750
Ru1 Ru 0.000 0.500 0.250
# Magnetization: 0.00 μB/cell
# Calculated total energy: -5.544 eV per atom

***

# 6
# PBE Sb2PRu, relaxed
data_Sb2PRu
_chemical_formula_sum 'Sb2 P1 Ru1'
_cell_length_a 3.228
_cell_length_b 3.228
_cell_length_c 7.919
_cell_angle_alpha 90.00
_cell_angle_beta 90.00
_cell_angle_gamma 90.00
_space_group_name_H-M_alt 'P 4 m m'
_space_group_IT_number 99
_space_group_name_Hall 'P 4 -2'
loop_
_atom_site_label
_atom_site_type_symbol
_atom_site_fract_x
_atom_site_fract_y
_atom_site_fract_z
Sb1 Sb 0.000 0.000 0.000
Sb2 Sb 0.500 0.500 0.398
P1 P 0.000 0.000 0.636
Ru1 Ru 0.500 0.500 0.761
# Magnetization: 0.00 μB/cell
# Calculated total energy: -5.695 eV per atom

***

# 7
# PBE SbP2Ru, relaxed
data_SbP2Ru
_chemical_formula_sum 'Sb2 P4 Ru2'
_cell_length_a 7.713
_cell_length_b 3.540
_cell_length_c 5.753
_cell_angle_alpha 90.00
_cell_angle_beta 99.81
_cell_angle_gamma 90.00
_space_group_name_H-M_alt 'C 1 m 1'
_space_group_IT_number 8
_space_group_name_Hall 'C -2y'
loop_
_atom_site_label
_atom_site_type_symbol
_atom_site_fract_x
_atom_site_fract_y
_atom_site_fract_z
Sb1 Sb 0.000 0.000 0.000
P1 P 0.267 0.000 0.622
P2 P 0.433 0.000 0.364
Ru1 Ru 0.223 0.500 0.309
# Magnetization: 0.00 μB/cell
# Calculated total energy: -6.105 eV per atom

***

# 8
# PBE Sb2PRu, relaxed
data_Sb2PRu
_chemical_formula_sum 'Sb4 P2 Ru2'
_cell_length_a 4.348
_cell_length_b 5.126
_cell_length_c 7.434
_cell_angle_alpha 90.00
_cell_angle_beta 90.00
_cell_angle_gamma 90.00
_space_group_name_H-M_alt 'A m m 2'
_space_group_IT_number 38
_space_group_name_Hall 'A 2 -2'
loop_
_atom_site_label
_atom_site_type_symbol
_atom_site_fract_x
_atom_site_fract_y
_atom_site_fract_z
Sb1 Sb 0.000 0.000 0.000
Sb2 Sb 0.500 0.000 0.386
P1 P 0.500 0.000 0.757
Ru1 Ru 0.000 0.000 0.614
# Magnetization: 0.00 μB/cell
# Calculated total energy: -5.733 eV per atom

***

# 9
# PBE SbPRu2, relaxed
data_SbPRu2
_chemical_formula_sum 'Sb3 P3 Ru6'
_cell_length_a 3.1484
_cell_length_b 3.1484
_cell_length_c 23.9453
_cell_angle_alpha 90.00
_cell_angle_beta 90.00
_cell_angle_gamma 120.00
_space_group_name_H-M_alt 'R 3 m'
_space_group_IT_number 160
_space_group_name_Hall 'R 3 -2"'
loop_
_atom_site_label
_atom_site_type_symbol
_atom_site_fract_x
_atom_site_fract_y
_atom_site_fract_z
Sb1 Sb 0.0000 0.0000 0.0000
P1 P 0.0000 0.0000 0.7680
Ru1 Ru 0.0000 0.0000 0.2547
Ru2 Ru 0.0000 0.0000 0.4934
# Excess energy over the best structure of this formula in the dataset: 1.65 eV per formula unit
# Magnetization: 0.01 μB/cell

***

# 10
# PBE SbPRu2, relaxed
data_SbPRu2
_chemical_formula_sum 'Sb1 P1 Ru2'
_cell_length_a 4.322
_cell_length_b 4.322
_cell_length_c 3.281
_cell_angle_alpha 90.00
_cell_angle_beta 90.00
_cell_angle_gamma 90.00
_space_group_name_H-M_alt 'P 4/m m m'
_space_group_IT_number 123
_space_group_name_Hall '-P 4 2'
loop_
_atom_site_label
_atom_site_type_symbol
_atom_site_fract_x
_atom_site_fract_y
_atom_site_fract_z
Sb1 Sb 0.000 0.000 0.000
P1 P 0.500 0.500 0.000
Ru1 Ru 0.000 0.500 0.500
# Excess energy over the best structure of this formula in the dataset: 1.33 eV per formula unit
# Magnetization: 0.00 μB/cell

***

# 11
# PBE SbP2Ru, relaxed
data_SbP2Ru
_chemical_formula_sum 'Sb1 P2 Ru1'
_cell_length_a 2.939
_cell_length_b 2.939
_cell_length_c 8.312
_cell_angle_alpha 90.00
_cell_angle_beta 90.00
_cell_angle_gamma 90.00
_space_group_name_H-M_alt 'P 4/m m m'
_space_group_IT_number 123
_space_group_name_Hall '-P 4 2'
loop_
_atom_site_label
_atom_site_type_symbol
_atom_site_fract_x
_atom_site_fract_y
_atom_site_fract_z
Sb1 Sb 0.000 0.000 0.000
P1 P 0.500 0.500 0.324
Ru1 Ru 0.000 0.000 0.500
# Magnetization: 0.00 μB/cell
# Calculated total energy: -5.974 eV per atom

***

# 12
# PBE SbPRu2, relaxed
data_SbPRu2
_chemical_formula_sum 'Sb2 P2 Ru4'
_cell_length_a 6.009
_cell_length_b 8.195
_cell_length_c 3.099
_cell_angle_alpha 90.00
_cell_angle_beta 120.61
_cell_angle_gamma 90.00
_space_group_name_H-M_alt 'C 1 2/m 1'
_space_group_IT_number 12
_space_group_name_Hall '-C 2y'
loop_
_atom_site_label
_atom_site_type_symbol
_atom_site_fract_x
_atom_site_fract_y
_atom_site_fract_z
Sb1 Sb 0.000 0.000 0.000
P1 P 0.000 0.500 0.000
Ru1 Ru 0.250 0.250 0.500
# Excess energy over the best structure of this formula in the dataset: 2.56 eV per formula unit
# Magnetization: 0.00 μB/cell